(1)
A relaxed V3SnHg crystal. Source: Alexandria via LeMat-Bulk, functional PBE-GGA.

Properties
**Energy of formation from the pure elements**: 1406 meV per atom
**Raw total energy**: -4.93 eV/atom
**DOS at the Fermi energy**: 10.169 states/eV per cell
**Excess energy over the best structure of this formula in the dataset**: 0.000 eV per atom
**Space group**: Pm-3m (221)

abc: 5.1426 5.1426 5.1426
angles: 90.00 90.00 90.00
With the nearest neighbours (Å) after each atom.
Positions (direct):
Hg: 0.5000 0.5000 0.5000  12 V 3.64
Sn: 0.0000 0.0000 0.0000  6 V 2.57
V: 0.0000 0.5000 0.0000  2 Sn 2.57
V: 0.0000 0.0000 0.5000  2 Sn 2.57
V: 0.5000 0.0000 0.0000  2 Sn 2.57

---

(2)
A relaxed V2Sn2Hg crystal. Source: Alexandria via LeMat-Bulk, functional PBE-GGA.

Properties
**Energy of formation from the pure elements**: 302 meV per atom
**Raw total energy**: -5.01 eV/atom
**DOS at the Fermi energy**: 8.001 states/eV per cell
**Excess energy over the best structure of this formula in the dataset**: 0.132 eV per atom
**Space group**: P4/mbm (127)

abc: 8.2962 8.2962 2.9238
angles: 90.00 90.00 90.00
With the nearest neighbours (Å) after each atom.
Positions (direct):
Hg: 0.0000 0.0000 0.0000  2 Hg 2.92, 4 Sn 3.04
Hg: 0.5000 0.5000 0.0000  2 Hg 2.92, 4 Sn 3.04
Sn: 0.3172 0.8172 0.0000  6 V 2.87-2.89, 2 Sn 2.92, 2 Hg 3.04
Sn: 0.8172 0.6828 0.0000  6 V 2.87-2.89, 2 Sn 2.92, 2 Hg 3.04
Sn: 0.6828 0.1828 0.0000  6 V 2.87-2.89, 2 Sn 2.92, 2 Hg 3.04
Sn: 0.1828 0.3172 0.0000  6 V 2.87-2.89, 2 Sn 2.92, 2 Hg 3.04
V: 0.1043 0.6043 0.5000  1 V 2.45
V: 0.6043 0.8957 0.5000  1 V 2.45
V: 0.8957 0.3957 0.5000  1 V 2.45
V: 0.3957 0.1043 0.5000  1 V 2.45